1.
Crystalline SrAuF4 at its relaxed geometry, computed with PBE.

Cell: 7.621 7.621 7.841 Å, 90.00 90.00 90.00°
Space group I4_1/amd (No. 141, origin choice 2)
Asymmetric unit:
Sr (0.000, 0.250, 0.375) [4 per cell]
Au (0.000, 0.250, 0.875) [4 per cell]
F (0.000, 0.075, 0.655) [16 per cell]

- magnetization (μB per formula unit) = 1.0
- raw formation energy (eV per atom) = -2.248
- calculated volume (A^3/atom) = 18.97
- DOS at the Fermi energy (states/eV per atom) = 0.82

2.
Crystalline SrAu2F at its relaxed geometry, computed with PBE.

Cell: 3.796 3.796 24.096 Å, 90.00 90.00 90.00°
Space group I-42d (No. 122)
Asymmetric unit:
Sr (0.000, 0.000, 0.000) [4 per cell]
Au (0.249, 0.250, 0.625) [8 per cell]
F (0.000, 0.000, 0.500) [4 per cell]

- magnetization (μB per formula unit) = 0.0
- polymorph energy (0 for the lowest one) (eV per atom) = 0.000
- raw formation energy (eV per atom) = -1.514
- calculated volume (A^3/atom) = 21.70
- DOS at the Fermi energy (states/eV per atom) = 0.24

3.
Crystalline Sr4Au2F at its relaxed geometry, computed with PBE.

Cell: 4.993 4.993 17.339 Å, 90.00 90.00 90.00°
Space group I4/mmm (No. 139)
Asymmetric unit:
Sr (0.000, 0.000, 0.188) [4 per cell]
Sr (0.000, 0.500, 0.000) [4 per cell]
Au (0.000, 0.000, 0.374) [4 per cell]
F (0.000, 0.000, 0.000) [2 per cell]

- magnetization (μB per formula unit) = 0.0
- raw formation energy (eV per atom) = -1.206
- calculated volume (A^3/atom) = 30.88
- DOS at the Fermi energy (states/eV per atom) = 0.66